1.
Material: CaGaSn2
Method: DFT, GGA-PBE
State: optimized geometry

Unit cell a=4.105 b=4.105 c=8.104 alpha=75.33 beta=75.33 gamma=60.00
Element x y z (fractional)
Sn: 0.266 0.266 0.201
Sn: 0.065 0.065 0.804
Ga: 0.666 0.666 0.003
Ca: 0.503 0.503 0.492

As for the formation energy: -0.14 eV per atom.



2.
Material: Zr2TePt2
Method: DFT, GGA-PBE
State: optimized geometry

Unit cell a=7.539 b=7.539 c=3.622 alpha=90.00 beta=90.00 gamma=90.00
Element x y z (fractional)
Pt: 0.871 0.629 0.000
Pt: 0.629 0.129 0.000
Pt: 0.129 0.371 0.000
Pt: 0.371 0.871 0.000
Zr: 0.337 0.163 0.500
Zr: 0.163 0.663 0.500
Zr: 0.663 0.837 0.500
Zr: 0.837 0.337 0.500
Te: 0.500 0.500 0.000
Te: 0.000 0.000 0.000

The calculation puts the offset from the most stable computed form at 0.00 eV per formula unit. The formation energy without anion corrections comes out at -0.82 eV/atom.



3.
Material: NaTlC
Method: DFT, GGA-PBE
State: optimized geometry

Unit cell a=9.826 b=3.882 c=3.597 alpha=90.00 beta=100.58 gamma=90.00
Element x y z (fractional)
Na: 0.901 0.500 0.499
Na: 0.372 0.500 0.734
C: 0.481 0.000 0.289
C: 0.350 0.000 0.222
Tl: 0.672 0.000 0.884
Tl: 0.103 0.000 0.100

As for the formation energy: 0.37 eV per atom.



4.
Material: Na3Ca2SbO6
Method: DFT, GGA-PBE
State: optimized geometry

Unit cell a=5.811 b=5.811 c=5.874 alpha=99.60 beta=99.60 gamma=120.04
Element x y z (fractional)
O: 0.776 0.776 0.205
O: 0.930 0.638 0.788
O: 0.362 0.070 0.212
O: 0.224 0.224 0.795
O: 0.638 0.930 0.788
O: 0.070 0.362 0.212
Na: 0.500 0.500 0.500
Na: 0.159 0.841 0.500
Na: 0.841 0.159 0.500
Sb: 0.000 0.000 0.000
Ca: 0.333 0.667 0.000
Ca: 0.667 0.333 0.000

The formation energy without anion corrections comes out at -2.12 eV/atom.



5.
Material: SrHoAlTl
Method: DFT, GGA-PBE
State: optimized geometry

Unit cell a=5.447 b=5.447 c=5.447 alpha=60.00 beta=60.00 gamma=60.00
Element x y z (fractional)
Al: 0.250 0.250 0.250
Ho: 0.500 0.500 0.500
Tl: 0.750 0.750 0.750
Sr: 0.000 0.000 0.000

As for the formation energy: -0.22 eV per atom.



6.
Material: Be2ZnRu
Method: DFT, GGA-PBE
State: optimized geometry

Unit cell a=2.606 b=2.606 c=7.768 alpha=90.00 beta=90.00 gamma=115.28
Element x y z (fractional)
Ru: 0.000 0.000 0.475
Zn: 0.500 0.500 0.762
Be: 0.500 0.500 0.244
Be: 0.000 0.000 0.019

As for the formation energy: 0.22 eV per atom.



7.
Material: Tm2ThGa2Cu2
Method: DFT, GGA-PBE
State: optimized geometry

Unit cell a=4.395 b=4.395 c=9.398 alpha=76.48 beta=76.48 gamma=60.00
Element x y z (fractional)
Cu: 0.595 0.595 0.215
Cu: 0.405 0.405 0.785
Th: 0.000 0.000 0.000
Ga: 0.741 0.741 0.778
Ga: 0.259 0.259 0.222
Tm: 0.126 0.126 0.621
Tm: 0.874 0.874 0.379

As for the formation energy: -0.36 eV per atom.



8.
Material: ScAlSb2
Method: DFT, GGA-PBE
State: optimized geometry

Unit cell a=4.042 b=7.308 c=6.018 alpha=34.50 beta=90.00 gamma=90.00
Element x y z (fractional)
Sb: 0.500 0.500 0.000
Sb: 0.000 0.000 0.000
Sc: 0.500 0.500 0.500
Al: 0.000 0.000 0.500

The calculation puts the offset from the most stable computed form at 0.19 eV per formula unit. The formation energy without anion corrections comes out at -0.37 eV/atom.



The Fermi-level density of states results, record by record, are as follows: 2.3 6.4 1.5 0.0 2.8 1.8 5.6 2.1 states/eV per cell.
The calculated total energy results, record by record, are as follows: -3.39 -7.28 -3.93 -5.60 -3.31 -4.28 -4.73 -4.95 eV per atom.